NiH20C26S2N2: optimized geometry, PBE.

Properties
- Total energy: -6.60 eV/atom

abc: 11.963 11.963 13.601
angles: 101.51 101.51 33.26
Element x y z (fractional)
Ni1 0.102 0.898 0.750
Ni2 0.898 0.102 0.250
H1 0.046 0.144 0.208
H2 0.059 0.532 0.949
H3 0.119 0.401 0.208
H4 0.144 0.046 0.708
H5 0.153 0.323 0.562
H6 0.176 0.484 0.522
H7 0.179 0.220 0.792
H8 0.199 0.452 0.792
H9 0.220 0.179 0.292
H10 0.246 0.550 0.042
H11 0.306 0.682 0.053
H12 0.318 0.694 0.447
H13 0.323 0.153 0.062
H14 0.372 0.489 0.874
H15 0.401 0.119 0.708
H16 0.450 0.754 0.458
H17 0.452 0.199 0.292
H18 0.468 0.941 0.551
H19 0.484 0.176 0.022
H20 0.489 0.372 0.374
H21 0.511 0.628 0.626
H22 0.516 0.824 0.978
H23 0.532 0.059 0.449
H24 0.548 0.801 0.708
H25 0.550 0.246 0.542
H26 0.599 0.881 0.292
H27 0.628 0.511 0.126
H28 0.677 0.847 0.938
H29 0.682 0.306 0.553
H30 0.694 0.318 0.947
H31 0.754 0.450 0.958
H32 0.780 0.821 0.708
H33 0.801 0.548 0.208
H34 0.821 0.780 0.208
H35 0.824 0.516 0.478
H36 0.847 0.677 0.438
H37 0.856 0.954 0.292
H38 0.881 0.599 0.792
H39 0.941 0.468 0.051
H40 0.954 0.856 0.792
C1 0.012 0.212 0.710
C2 0.027 0.322 0.017
C3 0.030 0.128 0.917
C4 0.032 0.310 0.755
C5 0.039 0.650 0.526
C6 0.050 0.754 0.580
C7 0.079 0.688 0.034
C8 0.128 0.030 0.417
C9 0.134 0.478 0.245
C10 0.146 0.240 0.521
C11 0.177 0.674 0.335
C12 0.205 0.770 0.383
C13 0.212 0.012 0.210
C14 0.230 0.795 0.117
C15 0.240 0.146 0.021
C16 0.246 0.950 0.920
C17 0.310 0.032 0.255
C18 0.312 0.921 0.466
C19 0.321 0.364 0.292
C20 0.322 0.027 0.517
C21 0.326 0.823 0.165
C22 0.342 0.461 0.338
C23 0.350 0.961 0.974
C24 0.364 0.321 0.792
C25 0.461 0.342 0.838
C26 0.478 0.134 0.745
C27 0.522 0.866 0.255
C28 0.539 0.658 0.162
C29 0.636 0.679 0.208
C30 0.650 0.039 0.026
C31 0.658 0.539 0.662
C32 0.674 0.177 0.835
C33 0.678 0.973 0.483
C34 0.679 0.636 0.708
C35 0.688 0.079 0.534
C36 0.690 0.968 0.745
C37 0.754 0.050 0.080
C38 0.760 0.854 0.979
C39 0.770 0.205 0.883
C40 0.788 0.988 0.790
C41 0.795 0.230 0.617
C42 0.823 0.326 0.665
C43 0.854 0.760 0.479
C44 0.866 0.522 0.755
C45 0.872 0.970 0.583
C46 0.921 0.312 0.966
C47 0.950 0.246 0.420
C48 0.961 0.350 0.474
C49 0.968 0.690 0.245
C50 0.970 0.872 0.083
C51 0.973 0.678 0.983
C52 0.988 0.788 0.290
S1 0.269 0.634 0.647
S2 0.366 0.731 0.853
S3 0.634 0.269 0.147
S4 0.731 0.366 0.353
N1 0.060 0.897 0.142
N2 0.103 0.940 0.358
N3 0.897 0.060 0.642
N4 0.940 0.103 0.858